# 1
TbTm2ThRu4 after structural relaxation, computed with GGA-PBE.

```
data_TbTm2ThRu4
_chemical_formula_sum 'Tb1 Tm2 Th1 Ru4'
_cell_length_a 4.836
_cell_length_b 4.836
_cell_length_c 8.349
_cell_angle_alpha 73.17
_cell_angle_beta 73.17
_cell_angle_gamma 60.00
_space_group_name_H-M_alt 'P 1'
_space_group_IT_number 1
_space_group_name_Hall 'P 1'
loop_
_atom_site_label
_atom_site_type_symbol
_atom_site_fract_x
_atom_site_fract_y
_atom_site_fract_z
Ru1 Ru 0.378 0.378 0.867
Ru2 Ru 0.622 0.622 0.133
Ru3 Ru 0.127 0.127 0.619
Ru4 Ru 0.873 0.873 0.381
Tb1 Tb 0.000 0.000 0.000
Tm1 Tm 0.746 0.746 0.761
Tm2 Tm 0.254 0.254 0.239
Th1 Th 0.500 0.500 0.500
```

## Properties
The calculated volume is 19.92 Å³ per atom. The value obtained for the formation energy from the elements is -459 meV per atom. The calculation puts the mass density at 11.8 g cm⁻³. As for the symmetry: R-3m (166).

=====

# 2
TbThZnRu after structural relaxation, computed with GGA-PBE.

```
data_TbThZnRu
_chemical_formula_sum 'Tb1 Th1 Zn1 Ru1'
_cell_length_a 5.030
_cell_length_b 5.030
_cell_length_c 5.030
_cell_angle_alpha 60.00
_cell_angle_beta 60.00
_cell_angle_gamma 60.00
_space_group_name_H-M_alt 'P 1'
_space_group_IT_number 1
_space_group_name_Hall 'P 1'
loop_
_atom_site_label
_atom_site_type_symbol
_atom_site_fract_x
_atom_site_fract_y
_atom_site_fract_z
Ru1 Ru 0.750 0.750 0.750
Th1 Th 0.000 0.000 0.000
Tb1 Tb 0.500 0.500 0.500
Zn1 Zn 0.250 0.250 0.250
```

## Properties
The calculated volume is 22.50 Å³ per atom. The value obtained for the formation energy from the elements is -316 meV per atom. The calculation puts the mass density at 10.3 g cm⁻³. As for the symmetry: F-43m (216).

=====

# 3
TbTi4Ru5 after structural relaxation, computed with GGA-PBE.

```
data_TbTi4Ru5
_chemical_formula_sum 'Tb1 Ti4 Ru5'
_cell_length_a 3.126
_cell_length_b 3.126
_cell_length_c 16.010
_cell_angle_alpha 90.00
_cell_angle_beta 90.00
_cell_angle_gamma 90.00
_space_group_name_H-M_alt 'P 1'
_space_group_IT_number 1
_space_group_name_Hall 'P 1'
loop_
_atom_site_label
_atom_site_type_symbol
_atom_site_fract_x
_atom_site_fract_y
_atom_site_fract_z
Ti1 Ti 0.000 0.000 0.596
Ti2 Ti 0.000 0.000 0.404
Ti3 Ti 0.000 0.000 0.210
Ti4 Ti 0.000 0.000 0.790
Ru1 Ru 0.500 0.500 0.689
Ru2 Ru 0.500 0.500 0.123
Ru3 Ru 0.500 0.500 0.500
Ru4 Ru 0.500 0.500 0.877
Ru5 Ru 0.500 0.500 0.311
Tb1 Tb 0.000 0.000 0.000
```

## Properties
The calculated volume is 15.65 Å³ per atom. The value obtained for the formation energy from the elements is -646 meV per atom. The calculation puts the mass density at 9.1 g cm⁻³. As for the symmetry: P4/mmm (123).

=====

# 4
TbTiZnRu after structural relaxation, computed with GGA-PBE.

```
data_TbTiZnRu
_chemical_formula_sum 'Tb1 Ti1 Zn1 Ru1'
_cell_length_a 4.687
_cell_length_b 4.687
_cell_length_c 4.687
_cell_angle_alpha 60.00
_cell_angle_beta 60.00
_cell_angle_gamma 60.00
_space_group_name_H-M_alt 'P 1'
_space_group_IT_number 1
_space_group_name_Hall 'P 1'
loop_
_atom_site_label
_atom_site_type_symbol
_atom_site_fract_x
_atom_site_fract_y
_atom_site_fract_z
Tb1 Tb 0.750 0.750 0.750
Ti1 Ti 0.250 0.250 0.250
Ru1 Ru 0.500 0.500 0.500
Zn1 Zn 0.000 0.000 0.000
```

## Properties
The calculated volume is 18.20 Å³ per atom. The value obtained for the formation energy from the elements is -222 meV per atom. The calculation puts the mass density at 8.5 g cm⁻³. As for the symmetry: F-43m (216).

=====

# 5
Tb7TlRu4 after structural relaxation, computed with GGA-PBE.

```
data_Tb7TlRu4
_chemical_formula_sum 'Tb7 Tl1 Ru4'
_cell_length_a 5.576
_cell_length_b 8.327
_cell_length_c 7.363
_cell_angle_alpha 75.92
_cell_angle_beta 67.75
_cell_angle_gamma 70.44
_space_group_name_H-M_alt 'P 1'
_space_group_IT_number 1
_space_group_name_Hall 'P 1'
loop_
_atom_site_label
_atom_site_type_symbol
_atom_site_fract_x
_atom_site_fract_y
_atom_site_fract_z
Tl1 Tl 0.000 0.000 0.000
Ru1 Ru 0.435 0.776 0.353
Ru2 Ru 0.301 0.349 0.050
Ru3 Ru 0.565 0.224 0.647
Ru4 Ru 0.699 0.651 0.950
Tb1 Tb 0.500 0.000 0.000
Tb2 Tb 0.923 0.375 0.778
Tb3 Tb 0.787 0.878 0.549
Tb4 Tb 0.213 0.122 0.451
Tb5 Tb 0.677 0.372 0.275
Tb6 Tb 0.323 0.628 0.725
Tb7 Tb 0.077 0.625 0.222
```

## Properties
The calculated volume is 24.63 Å³ per atom. The value obtained for the formation energy from the elements is -75 meV per atom. The calculation puts the mass density at 9.7 g cm⁻³. As for the symmetry: C2/m (12).

=====

# 6
Tb6TlRu after structural relaxation, computed with GGA-PBE.

```
data_Tb6TlRu
_chemical_formula_sum 'Tb6 Tl1 Ru1'
_cell_length_a 6.392
_cell_length_b 7.976
_cell_length_c 6.479
_cell_angle_alpha 52.01
_cell_angle_beta 80.91
_cell_angle_gamma 75.13
_space_group_name_H-M_alt 'P 1'
_space_group_IT_number 1
_space_group_name_Hall 'P 1'
loop_
_atom_site_label
_atom_site_type_symbol
_atom_site_fract_x
_atom_site_fract_y
_atom_site_fract_z
Tb1 Tb 0.352 0.219 0.000
Tb2 Tb 0.212 0.805 0.628
Tb3 Tb 0.212 0.433 0.372
Tb4 Tb 0.788 0.195 0.372
Tb5 Tb 0.648 0.781 0.000
Tb6 Tb 0.788 0.567 0.628
Tl1 Tl 0.000 0.000 0.000
Ru1 Ru 0.500 0.500 0.000
```

## Properties
The calculated volume is 31.45 Å³ per atom. The value obtained for the formation energy from the elements is -35 meV per atom. The calculation puts the mass density at 8.3 g cm⁻³. As for the symmetry: C2/m (12).

=====

# 7
Tb12TlRu6 after structural relaxation, computed with GGA-PBE.

```
data_Tb12TlRu6
_chemical_formula_sum 'Tb12 Tl1 Ru6'
_cell_length_a 8.559
_cell_length_b 8.559
_cell_length_c 8.559
_cell_angle_alpha 109.47
_cell_angle_beta 109.47
_cell_angle_gamma 109.47
_space_group_name_H-M_alt 'P 1'
_space_group_IT_number 1
_space_group_name_Hall 'P 1'
loop_
_atom_site_label
_atom_site_type_symbol
_atom_site_fract_x
_atom_site_fract_y
_atom_site_fract_z
Tl1 Tl 0.000 0.000 0.000
Ru1 Ru 0.500 0.876 0.376
Ru2 Ru 0.876 0.376 0.500
Ru3 Ru 0.124 0.624 0.500
Ru4 Ru 0.624 0.500 0.124
Ru5 Ru 0.376 0.500 0.876
Ru6 Ru 0.500 0.124 0.624
Tb1 Tb 0.297 0.101 0.805
Tb2 Tb 0.492 0.195 0.297
Tb3 Tb 0.805 0.297 0.101
Tb4 Tb 0.703 0.899 0.195
Tb5 Tb 0.703 0.508 0.805
Tb6 Tb 0.805 0.703 0.508
Tb7 Tb 0.195 0.297 0.492
Tb8 Tb 0.508 0.805 0.703
Tb9 Tb 0.899 0.195 0.703
Tb10 Tb 0.195 0.703 0.899
Tb11 Tb 0.297 0.492 0.195
Tb12 Tb 0.101 0.805 0.297
```

## Properties
The calculated volume is 25.41 Å³ per atom. The value obtained for the formation energy from the elements is -276 meV per atom. The calculation puts the mass density at 9.3 g cm⁻³. As for the symmetry: Im-3 (204).

=====

# 8
Tb4Tl2Ru after structural relaxation, computed with GGA-PBE.

```
data_Tb4Tl2Ru
_chemical_formula_sum 'Tb4 Tl2 Ru1'
_cell_length_a 4.704
_cell_length_b 6.140
_cell_length_c 7.645
_cell_angle_alpha 77.63
_cell_angle_beta 72.08
_cell_angle_gamma 67.48
_space_group_name_H-M_alt 'P 1'
_space_group_IT_number 1
_space_group_name_Hall 'P 1'
loop_
_atom_site_label
_atom_site_type_symbol
_atom_site_fract_x
_atom_site_fract_y
_atom_site_fract_z
Tb1 Tb 0.931 0.786 0.353
Tb2 Tb 0.333 0.277 0.057
Tb3 Tb 0.069 0.214 0.647
Tb4 Tb 0.667 0.723 0.943
Ru1 Ru 0.000 0.000 0.000
Tl1 Tl 0.659 0.356 0.327
Tl2 Tl 0.341 0.644 0.673
```

## Properties
The calculated volume is 27.56 Å³ per atom. The value obtained for the formation energy from the elements is -321 meV per atom. The calculation puts the energy above the lowest structure with this stoichiometry at 0 meV per atom. The calculation puts the mass density at 9.9 g cm⁻³. As for the symmetry: C2/m (12).

=====

# 9
Tb5Tl2Ru after structural relaxation, computed with GGA-PBE.

```
data_Tb5Tl2Ru
_chemical_formula_sum 'Tb10 Tl4 Ru2'
_cell_length_a 4.680
_cell_length_b 7.794
_cell_length_c 12.174
_cell_angle_alpha 90.00
_cell_angle_beta 90.00
_cell_angle_gamma 90.00
_space_group_name_H-M_alt 'P 1'
_space_group_IT_number 1
_space_group_name_Hall 'P 1'
loop_
_atom_site_label
_atom_site_type_symbol
_atom_site_fract_x
_atom_site_fract_y
_atom_site_fract_z
Tb1 Tb 0.000 0.000 0.500
Tb2 Tb 0.500 0.682 0.428
Tb3 Tb 0.000 0.640 0.703
Tb4 Tb 0.000 0.860 0.203
Tb5 Tb 0.000 0.500 0.000
Tb6 Tb 0.000 0.140 0.797
Tb7 Tb 0.500 0.818 0.928
Tb8 Tb 0.500 0.182 0.072
Tb9 Tb 0.000 0.360 0.297
Tb10 Tb 0.500 0.318 0.572
Ru1 Ru 0.000 0.500 0.500
Ru2 Ru 0.000 0.000 0.000
Tl1 Tl 0.500 0.075 0.331
Tl2 Tl 0.500 0.925 0.669
Tl3 Tl 0.500 0.575 0.169
Tl4 Tl 0.500 0.425 0.831
```

## Properties
The calculated volume is 27.75 Å³ per atom. The value obtained for the formation energy from the elements is -340 meV per atom. The calculation puts the energy above the lowest structure with this stoichiometry at 0 meV per atom. The calculation puts the mass density at 9.8 g cm⁻³. As for the symmetry: Pbam (55).

=====

# 10
Tb12TlRu5 after structural relaxation, computed with GGA-PBE.

```
data_Tb12TlRu5
_chemical_formula_sum 'Tb12 Tl1 Ru5'
_cell_length_a 8.446
_cell_length_b 8.446
_cell_length_c 8.446
_cell_angle_alpha 105.29
_cell_angle_beta 112.84
_cell_angle_gamma 110.37
_space_group_name_H-M_alt 'P 1'
_space_group_IT_number 1
_space_group_name_Hall 'P 1'
loop_
_atom_site_label
_atom_site_type_symbol
_atom_site_fract_x
_atom_site_fract_y
_atom_site_fract_z
Tb1 Tb 0.314 0.673 0.987
Tb2 Tb 0.552 0.823 0.729
Tb3 Tb 0.686 0.327 0.013
Tb4 Tb 0.686 0.673 0.359
Tb5 Tb 0.809 0.576 0.767
Tb6 Tb 0.905 0.177 0.729
Tb7 Tb 0.191 0.959 0.767
Tb8 Tb 0.314 0.327 0.641
Tb9 Tb 0.809 0.041 0.233
Tb10 Tb 0.095 0.823 0.271
Tb11 Tb 0.448 0.177 0.271
Tb12 Tb 0.191 0.424 0.233
Ru1 Ru 0.335 0.335 0.000
Ru2 Ru 0.000 0.000 0.000
Ru3 Ru 0.500 0.878 0.378
Ru4 Ru 0.665 0.665 0.000
Ru5 Ru 0.500 0.122 0.622
Tl1 Tl 0.000 0.500 0.500
```

## Properties
The calculated volume is 25.65 Å³ per atom. The value obtained for the formation energy from the elements is -334 meV per atom. The calculation puts the mass density at 9.4 g cm⁻³. As for the symmetry: Immm (71).